# TlCoRe2F

TlCoRe2F after structural relaxation (GGA-PBEsol, the Alexandria database).

Cell lengths 4.412, 4.412, 4.950 Å; angles 90.00, 90.00, 90.00 degrees
Space group P4/mmm (No. 123)
Unique sites:
Tl 0.000 0.000 0.000
Co 0.000 0.000 0.500
Re 0.000 0.500 0.500
F 0.500 0.500 0.000

Computed properties:
D(E_F)	3.73	states/eV/f.u.
formation energy without anion corrections	1485	meV/atom


# ZnAgAu2

ZnAgAu2 after structural relaxation (GGA-PBEsol, the Alexandria database).

Cell lengths 2.9080, 2.9080, 26.4814 Å; angles 90.00, 90.00, 120.00 degrees
Space group R-3m (No. 166, hexagonal axes)
Unique sites:
Zn 0.0000 0.0000 0.0000
Ag 0.0000 0.0000 0.5000
Au 0.0000 0.0000 0.2547

Computed properties:
calculated formation energy	-98	meV/atom
D(E_F)	1.01	states/eV/f.u.


# HgAs2Ru

HgAs2Ru after structural relaxation (GGA-PBEsol, the Alexandria database).

Cell lengths 2.9905, 2.9905, 28.9293 Å; angles 90.00, 90.00, 120.00 degrees
Space group R-3m (No. 166, hexagonal axes)
Unique sites:
Hg 0.0000 0.0000 0.0000
As 0.0000 0.0000 0.2306
Ru 0.0000 0.0000 0.5000

Computed properties:
calculated formation energy	5	meV/atom
D(E_F)	2.72	states/eV/f.u.


# TaInSe

TaInSe after structural relaxation (GGA-PBEsol, the Alexandria database).

Cell lengths 6.446, 6.446, 6.446 Å; angles 90.00, 90.00, 90.00 degrees
Space group F-43m (No. 216)
Unique sites:
Ta 0.000 0.000 0.000
In 0.250 0.250 0.750
Se 0.250 0.250 0.250

Computed properties:
energy above the most stable polymorph in this dataset	875	meV/atom
D(E_F)	2.80	states/eV/f.u.
formation energy without anion corrections	562	meV/atom


# MgV4O9

MgV4O9 after structural relaxation (GGA-PBEsol, the Alexandria database).

Cell lengths 8.123, 8.123, 4.834 Å; angles 90.00, 90.00, 90.00 degrees
Space group P4/n (No. 85, origin choice 2)
Unique sites:
Mg 0.250 0.250 0.173
V 0.034 0.841 0.362
O 0.015 0.184 0.961
O 0.047 0.356 0.456
O 0.250 0.750 0.500

Computed properties:
formation energy without anion corrections	-2326	meV/atom


# Rb3SnN

Rb3SnN after structural relaxation (GGA-PBEsol, the Alexandria database).

Cell lengths 5.738, 5.738, 5.738 Å; angles 90.00, 90.00, 90.00 degrees
Space group Pm-3m (No. 221)
Unique sites:
Rb 0.000 0.000 0.500
Sn 0.500 0.500 0.500
N 0.000 0.000 0.000

Computed properties:
D(E_F)	1.78	states/eV/f.u.
formation energy without anion corrections	523	meV/atom


# MgNiAu2

MgNiAu2 after structural relaxation (GGA-PBEsol, the Alexandria database).

Cell lengths 3.172, 3.172, 6.047 Å; angles 90.00, 90.00, 90.00 degrees
Space group P4/mmm (No. 123)
Unique sites:
Mg 0.000 0.000 0.000
Ni 0.000 0.000 0.500
Au 0.500 0.500 0.267

Computed properties:
calculated formation energy	-246	meV/atom
D(E_F)	2.49	states/eV/f.u.


# HgSb4Pb

HgSb4Pb after structural relaxation (GGA-PBEsol, the Alexandria database).

Cell lengths 8.813, 8.813, 8.813 Å; angles 90.00, 90.00, 90.00 degrees
Space group F-43m (No. 216)
Unique sites:
Hg 0.000 0.000 0.000
Sb 0.125 0.125 0.625
Pb 0.250 0.250 0.250

Computed properties:
D(E_F)	3.93	states/eV/f.u.
formation energy without anion corrections	204	meV/atom


# TbTl3

TbTl3 after structural relaxation (GGA-PBEsol, the Alexandria database).

Cell lengths 4.660, 4.660, 4.660 Å; angles 90.00, 90.00, 90.00 degrees
Space group Pm-3m (No. 221)
Unique sites:
Tb 0.000 0.000 0.000
Tl 0.000 0.500 0.500

Computed properties:
calculated formation energy	-313	meV/atom
D(E_F)	2.23	states/eV/f.u.


# ZnAg2Os

ZnAg2Os after structural relaxation (GGA-PBEsol, the Alexandria database).

Cell lengths 3.792, 3.792, 4.165 Å; angles 90.00, 90.00, 90.00 degrees
Space group P4/mmm (No. 123)
Unique sites:
Zn 0.000 0.000 0.000
Ag 0.000 0.500 0.500
Os 0.500 0.500 0.000

Computed properties:
calculated formation energy	480	meV/atom
D(E_F)	2.35	states/eV/f.u.


# Mg2PdCl

Mg2PdCl after structural relaxation (GGA-PBEsol, the Alexandria database).

Cell lengths 6.644, 6.644, 6.644 Å; angles 90.00, 90.00, 90.00 degrees
Space group Fm-3m (No. 225)
Unique sites:
Mg 0.250 0.250 0.250
Pd 0.000 0.000 0.000
Cl 0.000 0.000 0.500

Computed properties:
D(E_F)	1.17	states/eV/f.u.
formation energy without anion corrections	-389	meV/atom


# SbAs2Au

SbAs2Au after structural relaxation (GGA-PBEsol, the Alexandria database).

Cell lengths 3.461, 5.132, 9.543 Å; angles 90.00, 90.00, 90.00 degrees
Space group Imm2 (No. 44)
Unique sites:
Sb 0.000 0.000 0.000
As 0.000 0.000 0.548
As 0.000 0.500 0.843
Au 0.000 0.500 0.263

Computed properties:
D(E_F)	1.45	states/eV/f.u.
formation energy without anion corrections	250	meV/atom


# Y2ScAl

Y2ScAl after structural relaxation (GGA-PBEsol, the Alexandria database).

Cell lengths 4.633, 4.633, 4.533 Å; angles 90.00, 90.00, 90.00 degrees
Space group P4/mmm (No. 123)
Unique sites:
Y 0.000 0.500 0.000
Sc 0.000 0.000 0.500
Al 0.500 0.500 0.500

Computed properties:
calculated formation energy	-209	meV/atom
D(E_F)	5.01	states/eV/f.u.


# KSc2Cu

KSc2Cu after structural relaxation (GGA-PBEsol, the Alexandria database).

Cell lengths 4.297, 4.297, 9.977 Å; angles 90.00, 90.00, 90.00 degrees
Space group I-4m2 (No. 119)
Unique sites:
K 0.000 0.000 0.000
Sc 0.000 0.000 0.500
Sc 0.000 0.500 0.250
Cu 0.000 0.500 0.750

Computed properties:
calculated formation energy	755	meV/atom
D(E_F)	6.48	states/eV/f.u.


# FeNiI2O

FeNiI2O after structural relaxation (GGA-PBEsol, the Alexandria database).

Cell lengths 5.264, 5.264, 3.529 Å; angles 90.00, 90.00, 90.00 degrees
Space group P4/mmm (No. 123)
Unique sites:
Fe 0.000 0.000 0.000
Ni 0.500 0.500 0.500
I 0.000 0.500 0.500
O 0.500 0.500 0.000

Computed properties:
D(E_F)	5.60	states/eV/f.u.
formation energy without anion corrections	293	meV/atom


# In2HgCl

In2HgCl after structural relaxation (GGA-PBEsol, the Alexandria database).

Cell lengths 5.028, 5.784, 3.407 Å; angles 90.00, 90.00, 90.00 degrees
Space group Pmm2 (No. 25)
Unique sites:
In 0.000 0.000 0.000
In 0.500 0.500 0.495
Hg 0.500 0.000 0.500
Cl 0.000 0.500 0.996

Computed properties:
energy above the most stable polymorph in this dataset	0	meV/atom
D(E_F)	1.35	states/eV/f.u.
formation energy without anion corrections	-360	meV/atom


# KLi2Ir

KLi2Ir after structural relaxation (GGA-PBEsol, the Alexandria database).

Cell lengths 5.056, 5.056, 16.026 Å; angles 90.00, 90.00, 90.00 degrees
Space group I4_1/amd (No. 141, origin choice 2)
Unique sites:
K 0.000 0.250 0.375
Li 0.000 0.000 0.000
Ir 0.000 0.250 0.875

Computed properties:
energy above the most stable polymorph in this dataset	315	meV/atom
calculated formation energy	717	meV/atom
D(E_F)	3.09	states/eV/f.u.


# TaZn2N3

TaZn2N3 after structural relaxation (GGA-PBEsol, the Alexandria database).

Cell lengths 9.751, 5.715, 5.377 Å; angles 90.00, 90.00, 90.00 degrees
Space group Cmc2_1 (No. 36)
Unique sites:
Ta 0.000 0.169 0.000
Zn 0.172 0.338 0.510
N 0.000 0.156 0.369
N 0.160 0.331 0.886

Computed properties:
D(E_F)	0.00	states/eV/f.u.
formation energy without anion corrections	-596	meV/atom


# BaCrF7

BaCrF7 after structural relaxation (GGA-PBEsol, the Alexandria database).

Cell lengths 5.245, 9.730, 9.829 Å; angles 90.00, 91.75, 90.00 degrees
Space group P2_1/c (No. 14)
Unique sites:
Ba 0.203 0.183 0.006
Cr 0.332 0.606 0.185
F 0.046 0.688 0.237
F 0.144 0.547 0.609
F 0.166 0.042 0.632
F 0.281 0.689 0.022
F 0.378 0.539 0.353
F 0.382 0.038 0.371
F 0.483 0.246 0.759

Computed properties:
D(E_F)	7.20	states/eV/f.u.
formation energy without anion corrections	-2772	meV/atom


# AlIr2Pb

AlIr2Pb after structural relaxation (GGA-PBEsol, the Alexandria database).

Cell lengths 8.560, 2.985, 5.269 Å; angles 90.00, 101.50, 90.00 degrees
Space group C2/m (No. 12)
Unique sites:
Al 0.000 0.000 0.000
Ir 0.237 0.500 0.218
Pb 0.000 0.500 0.500

Computed properties:
energy above the most stable polymorph in this dataset	0	meV/atom
calculated formation energy	69	meV/atom
D(E_F)	2.69	states/eV/f.u.